Entry from the Alexandria database: a geometry-optimized SiAg2Te4 structure (PBE-GGA).

Cell lengths 5.9784, 5.9784, 12.3041 Å; angles 90.00, 90.00, 90.00 degrees
Atoms (fractional coordinates):
Si (0.0000, 0.0000, 0.0000)
Si (0.5000, 0.5000, 0.5000)
Ag (0.0000, 0.5000, 0.2500)
Ag (0.0000, 0.5000, 0.7500)
Ag (0.5000, 0.0000, 0.2500)
Ag (0.5000, 0.0000, 0.7500)
Te (0.2400, 0.2400, 0.6050)
Te (0.2400, 0.7600, 0.3950)
Te (0.2600, 0.2600, 0.1050)
Te (0.2600, 0.7400, 0.8950)
Te (0.7400, 0.2600, 0.8950)
Te (0.7400, 0.7400, 0.1050)
Te (0.7600, 0.2400, 0.3950)
Te (0.7600, 0.7600, 0.6050)

As for the space group: No. 121. The density is 5.7 g cm⁻³. The formation energy from raw total energies is 0.02 eV/atom. The value obtained for the polymorph energy (0 for the lowest one) is 0.0 meV per atom.